1.
Density functional theory data (PBE) for a geometry-optimized Ba4O3F2 structure.

It has space group C2/m (No. 12), with a = 13.302 Å, b = 3.933 Å, c = 10.061 Å, α = 90.00°, β = 123.68° and γ = 90.00°. Symmetry generates all atoms from Ba at (0.090, 0.000, 0.389), Ba at (0.232, 0.500, 0.795), O at (0.000, 0.500, 0.500), O at (0.209, 0.500, 0.324) and F at (0.136, 0.000, 0.882).

The value obtained for the formation energy from raw total energies is -2.8972 eV/atom.


2.
Density functional theory data (PBE) for a geometry-optimized Sn2As2S5 structure.

It has space group C2/m (No. 12), with a = 15.738 Å, b = 4.969 Å, c = 5.702 Å, α = 90.00°, β = 99.27° and γ = 90.00°. Symmetry generates all atoms from Sn at (0.069, 0.000, 0.306), As at (0.159, 0.500, 0.904), S at (0.000, 0.500, 0.000), S at (0.145, 0.500, 0.512) and S at (0.169, 0.000, 0.976).

The value obtained for the formation energy from raw total energies is -0.1307 eV/atom.


3.
Density functional theory data (PBE) for a geometry-optimized MgAgMo2 structure.

It has space group I4/mmm (No. 139), with a = 3.761 Å, b = 3.761 Å, c = 9.374 Å, α = 90.00°, β = 90.00° and γ = 90.00°. Symmetry generates all atoms from Mg at (0.000, 0.000, 0.000), Ag at (0.000, 0.000, 0.500) and Mo at (0.000, 0.500, 0.250).

The energy relative to the elements is 0.312 eV per atom.


4.
Density functional theory data (PBE) for a geometry-optimized U2AlCu3 structure.

It has space group P6_3/mmc (No. 194), with a = 5.4198 Å, b = 5.4198 Å, c = 7.8380 Å, α = 90.00°, β = 90.00° and γ = 120.00°. Symmetry generates all atoms from U at (0.3333, 0.6667, 0.0781), Al at (0.0000, 0.0000, 0.0000) and Cu at (0.1718, 0.3437, 0.7500).

The energy relative to the elements is -0.005 eV per atom.


5.
Density functional theory data (PBE) for a geometry-optimized PmDy4Ho8 structure.

It has space group R-3m (No. 166, hexagonal axes), with a = 7.2728 Å, b = 7.2728 Å, c = 26.9680 Å, α = 90.00°, β = 90.00° and γ = 120.00°. Symmetry generates all atoms from Pm at (0.0000, 0.0000, 0.0000), Dy at (0.0000, 0.0000, 0.5000), Dy at (0.0000, 0.5000, 0.5000), Ho at (0.0000, 0.0000, 0.2820) and Ho at (0.0377, 0.5188, 0.2685).

The energy relative to the elements is 0.203 eV per atom.


6.
Density functional theory data (PBE) for a geometry-optimized TbInAg2Se4 structure.

It has space group Imma (No. 74), with a = 8.017 Å, b = 8.394 Å, c = 11.447 Å, α = 90.00°, β = 90.00° and γ = 90.00°. Symmetry generates all atoms from Tb at (0.000, 0.000, 0.000), In at (0.250, 0.250, 0.250), Ag at (0.000, 0.000, 0.500), Ag at (0.250, 0.250, 0.750), Se at (0.000, 0.020, 0.254) and Se at (0.248, 0.250, 0.990).

The value obtained for the formation energy from raw total energies is -0.7295 eV/atom.


7.
Density functional theory data (PBE) for a geometry-optimized LiTa2Tl structure.

It has space group C2/m (No. 12), with a = 5.356 Å, b = 10.343 Å, c = 3.006 Å, α = 90.00°, β = 115.29° and γ = 90.00°. Symmetry generates all atoms from Li at (0.000, 0.000, 0.000), Ta at (0.250, 0.250, 0.500) and Tl at (0.000, 0.500, 0.000).

The energy relative to the elements is 0.393 eV per atom.


8.
Density functional theory data (PBE) for a geometry-optimized InAg4 structure.

It has space group Fdd2 (No. 43), with a = 9.981 Å, b = 14.193 Å, c = 5.332 Å, α = 90.00°, β = 90.00° and γ = 90.00°. Symmetry generates all atoms from In at (0.000, 0.000, 0.000), Ag at (0.027, 0.203, 0.931) and Ag at (0.043, 0.099, 0.471).

The energy relative to the elements is -0.009 eV per atom.